Entry 1:
DFT (PBE-GGA) results for a relaxed structure of Pm5Ir4.

Properties
energy relative to the elements	-0.622	eV per atom
DOS at the Fermi energy	4.9	states/eV/f.u.

Lattice parameters (Å, degrees): 5.8502 5.8502 10.0867 110.33 110.33 43.07
Fractional coordinates of all 9 atoms:
1 Pm 0.0000 0.0000 0.0000
2 Pm 0.1094 0.1094 0.3967
3 Pm 0.2413 0.2413 0.8195
4 Pm 0.7587 0.7587 0.1805
5 Pm 0.8906 0.8906 0.6033
6 Ir 0.3834 0.3834 0.3849
7 Ir 0.4538 0.4538 0.1573
8 Ir 0.5462 0.5462 0.8427
9 Ir 0.6166 0.6166 0.6151



Entry 2:
DFT (PBE-GGA) results for a relaxed structure of Pm5Ir2.

Properties
energy relative to the elements	-0.539	eV per atom
DOS at the Fermi energy	7.5	states/eV/f.u.

Lattice parameters (Å, degrees): 8.9134 8.9134 7.3063 96.50 96.50 43.84
Fractional coordinates of all 14 atoms:
1 Pm 0.0693 0.9307 0.7500
2 Pm 0.1473 0.2887 0.3152
3 Pm 0.2887 0.1473 0.8152
4 Pm 0.2966 0.5175 0.0808
5 Pm 0.4825 0.7034 0.4192
6 Pm 0.5175 0.2966 0.5808
7 Pm 0.7034 0.4825 0.9192
8 Pm 0.7113 0.8527 0.1848
9 Pm 0.8527 0.7113 0.6848
10 Pm 0.9307 0.0693 0.2500
11 Ir 0.0972 0.6793 0.4246
12 Ir 0.3207 0.9028 0.0754
13 Ir 0.6793 0.0972 0.9246
14 Ir 0.9028 0.3207 0.5754



Entry 3:
DFT (PBE-GGA) results for a relaxed structure of Pm4Ir.

Properties
energy above the lowest structure with this stoichiometry	0.81	eV per formula unit
energy relative to the elements	-0.172	eV per atom
DOS at the Fermi energy	8.8	states/eV/f.u.

Lattice parameters (Å, degrees): 5.5906 5.5906 5.5906 90.00 90.00 90.00
Fractional coordinates of all 5 atoms:
1 Pm 0.0000 0.0000 0.0000
2 Pm 0.0000 0.5000 0.5000
3 Pm 0.5000 0.0000 0.5000
4 Pm 0.5000 0.5000 0.0000
5 Ir 0.5000 0.5000 0.5000